VASP calculation (PBE with a Hubbard U) on Ti2MoPb3O9 after structural relaxation.

Values from the calculation:
Crystal system: trigonal
Energy (eV per cell): -108.58

a b c (Å): 5.6563 5.6563 7.0410
angles (deg): 90.00 90.00 120.00
Space group P-3m1 (No. 164)
Unique sites:
Ti 0.3333 0.6667 0.1745 x2
Mo 0.0000 0.0000 0.5000 x1
Pb 0.0000 0.0000 0.0000 x1
Pb 0.3333 0.6667 0.7030 x2
O 0.0000 0.5000 0.0000 x3
O 0.1676 0.3352 0.3240 x6